A plane-wave DFT calculation with PBE-GGA was carried out for a geometry-optimized Ac2DyOs2N6 structure.

Cell: 5.863 5.863 7.021 Å, 65.32 65.32 60.00°
Fractional positions:
Ac  0.788  0.788  0.637
Ac  0.212  0.212  0.363
Dy  0.000  0.000  0.000
Os  0.398  0.398  0.805
Os  0.602  0.602  0.195
N  0.743  0.743  0.282
N  0.231  0.743  0.282
N  0.743  0.231  0.282
N  0.257  0.769  0.718
N  0.769  0.257  0.718
N  0.257  0.257  0.718

As for the total magnetic moment: 0.00 Bohr magnetons per cell. The uncorrected formation energy is -0.5519 eV per atom. Its space-group type is No. 166.



A plane-wave DFT calculation with PBE-GGA was carried out for a geometry-optimized AcDy2P2N6 structure.

Cell: 6.230 5.980 5.862 Å, 117.29 89.44 63.77°
Fractional positions:
Ac  0.500  0.000  0.500
Dy  0.807  0.425  0.792
Dy  0.193  0.575  0.208
P  0.191  0.793  0.850
P  0.809  0.207  0.150
N  0.388  0.789  0.029
N  0.874  0.466  0.214
N  0.197  0.879  0.627
N  0.126  0.534  0.786
N  0.803  0.121  0.373
N  0.612  0.211  0.971

As for the total magnetic moment: 0.02 Bohr magnetons per cell. The uncorrected formation energy is -1.0136 eV per atom. Its space-group type is No. 2.



A plane-wave DFT calculation with PBE-GGA was carried out for a geometry-optimized Ac3DyP2N6 structure.

Cell: 5.841 5.841 6.779 Å, 90.00 90.00 120.00°
Fractional positions:
Ac  0.333  0.667  0.656
Ac  0.667  0.333  0.344
Ac  0.000  0.000  0.000
Dy  0.000  0.000  0.500
P  0.667  0.333  0.812
P  0.333  0.667  0.188
N  0.637  0.819  0.292
N  0.181  0.363  0.292
N  0.181  0.819  0.292
N  0.819  0.637  0.708
N  0.363  0.181  0.708
N  0.819  0.181  0.708

As for the total magnetic moment: 0.00 Bohr magnetons per cell. The uncorrected formation energy is -1.1994 eV per atom. Its space-group type is No. 164.



A plane-wave DFT calculation with PBE-GGA was carried out for a geometry-optimized AcDyPaN3 structure.

Cell: 3.606 6.144 9.383 Å, 102.52 90.00 90.00°
Fractional positions:
Ac  0.750  0.650  0.690
Ac  0.250  0.350  0.310
Dy  0.250  0.136  0.640
Dy  0.750  0.864  0.360
Pa  0.250  0.765  0.045
Pa  0.750  0.235  0.955
N  0.250  0.765  0.501
N  0.750  0.031  0.134
N  0.750  0.552  0.137
N  0.750  0.235  0.499
N  0.250  0.448  0.863
N  0.250  0.969  0.866

As for the total magnetic moment: 0.00 Bohr magnetons per cell. The uncorrected formation energy is -1.4022 eV per atom. Its space-group type is No. 11.